Record 1
Entry from the Alexandria database: a relaxed structure of RbCu3Tc (PBE).

- density of states at the Fermi level (states/eV per atom) = 0.9268
- volume (Å³ per atom) = 24.95
- offset from the most stable computed form (meV/atom) = 1378

Unit cell a=4.9965 b=4.9965 c=4.9965 alpha=90.00 beta=90.00 gamma=90.00
Space group Pm-3m (No. 221)
Asymmetric unit:
Rb  0.0000  0.0000  0.0000 [1 per cell]
Cu  0.0000  0.0000  0.5000 [3 per cell]
Tc  0.5000  0.5000  0.5000 [1 per cell]

---

Record 2
Entry from the Alexandria database: a relaxed structure of RbCuTc3 (PBE).

- density of states at the Fermi level (states/eV per atom) = 1.2350
- volume (Å³ per atom) = 20.14
- offset from the most stable computed form (meV/atom) = 1334

Unit cell a=4.6522 b=4.6522 c=4.6522 alpha=90.00 beta=90.00 gamma=90.00
Space group Pm-3m (No. 221)
Asymmetric unit:
Rb  0.0000  0.0000  0.0000 [1 per cell]
Cu  0.5000  0.5000  0.5000 [1 per cell]
Tc  0.0000  0.0000  0.5000 [3 per cell]

---

Record 3
Entry from the Alexandria database: a relaxed structure of Rb4CuTc2 (PBE).

- total energy (eV per atom) = -2.956
- density of states at the Fermi level (states/eV per atom) = 0.7703
- volume (Å³ per atom) = 56.66

Unit cell a=6.9325 b=6.9325 c=16.5047 alpha=90.00 beta=90.00 gamma=90.00
Space group I4/mmm (No. 139)
Asymmetric unit:
Rb  0.0000  0.0000  0.2026 [4 per cell]
Rb  0.0000  0.5000  0.0000 [4 per cell]
Cu  0.0000  0.0000  0.0000 [2 per cell]
Tc  0.0000  0.0000  0.4380 [4 per cell]

---

Record 4
Entry from the Alexandria database: a relaxed structure of RbCu3Tc (PBE).

- density of states at the Fermi level (states/eV per atom) = 0.8297
- volume (Å³ per atom) = 23.65
- offset from the most stable computed form (meV/atom) = 0

Unit cell a=4.9082 b=4.9082 c=4.9082 alpha=90.00 beta=90.00 gamma=90.00
Space group Pm-3m (No. 221)
Asymmetric unit:
Rb  0.0000  0.0000  0.0000 [1 per cell]
Cu  0.0000  0.5000  0.5000 [3 per cell]
Tc  0.5000  0.5000  0.5000 [1 per cell]

---

Record 5
Entry from the Alexandria database: a relaxed structure of RbCuTc3 (PBE).

- density of states at the Fermi level (states/eV per atom) = 1.1753
- volume (Å³ per atom) = 22.63
- offset from the most stable computed form (meV/atom) = 0

Unit cell a=4.8369 b=4.8369 c=4.8369 alpha=90.00 beta=90.00 gamma=90.00
Space group Pm-3m (No. 221)
Asymmetric unit:
Rb  0.0000  0.0000  0.0000 [1 per cell]
Cu  0.5000  0.5000  0.5000 [1 per cell]
Tc  0.0000  0.5000  0.5000 [3 per cell]

---

Record 6
Entry from the Alexandria database: a relaxed structure of RbCuTcW2 (PBE).

- total energy (eV per atom) = -4.428
- density of states at the Fermi level (states/eV per atom) = 1.3318
- volume (Å³ per atom) = 20.18

Unit cell a=4.6905 b=4.6905 c=4.5853 alpha=90.00 beta=90.00 gamma=90.00
Space group P4/mmm (No. 123)
Asymmetric unit:
Rb  0.0000  0.0000  0.0000 [1 per cell]
Cu  0.5000  0.5000  0.5000 [1 per cell]
Tc  0.0000  0.0000  0.5000 [1 per cell]
W  0.0000  0.5000  0.0000 [2 per cell]